Record 1
BaBHRh2 after structural relaxation, computed with GGA-PBE.

POSCAR file:
```
BaBHRh2
1.0
-0.767 -1.055 3.788
-4.642 -3.011 -1.778
2.285 -3.261 -0.445
Rh H Ba B
2 1 1 1
Direct
0.000 0.000 0.500
0.500 0.000 0.000
0.000 0.500 0.000
0.500 0.500 0.500
0.000 0.000 0.000
```

Computed properties:
crystal system = tetragonal
SG = P4/mmm, No. 123
energy above the lowest structure with this stoichiometry = 0 meV/atom

Record 2
KIN2O after structural relaxation, computed with GGA-PBE.

POSCAR file:
```
KIN2O
1.0
5.456 0.000 0.000
0.000 5.456 0.000
0.000 0.000 6.736
I O K N
1 1 1 2
Direct
0.000 0.000 0.500
0.500 0.500 0.500
0.000 0.000 0.000
0.500 0.000 0.000
0.000 0.500 0.000
```

Computed properties:
crystal system = tetragonal
SG = P4/mmm, No. 123
total DFT energy (no corrections) = -2.64 eV/atom

Record 3
InSbAu3 after structural relaxation, computed with GGA-PBE.

POSCAR file:
```
InSbAu3
1.0
-2.454 2.320 -3.882
-0.986 -4.585 -2.117
-4.413 -0.266 2.631
Au In Sb
3 1 1
Direct
0.000 0.500 0.000
0.000 0.000 0.500
0.500 0.000 0.000
0.000 0.000 0.000
0.500 0.500 0.500
```

Computed properties:
crystal system = cubic
SG = Pm-3m, No. 221
energy above the lowest structure with this stoichiometry = 673 meV/atom

Record 4
La3ZnHg after structural relaxation, computed with GGA-PBE.

POSCAR file:
```
La3ZnHg
1.0
5.697 0.000 0.000
0.000 5.697 0.000
0.000 0.000 5.697
Hg La Zn
1 3 1
Direct
0.500 0.500 0.500
0.000 0.000 0.500
0.500 0.000 0.000
0.000 0.500 0.000
0.000 0.000 0.000
```

Computed properties:
crystal system = cubic
SG = Pm-3m, No. 221
formation enthalpy at 0 K = 0.141 eV/atom
energy above the lowest structure with this stoichiometry = 451 meV/atom

Record 5
SrAcGe2Pd2 after structural relaxation, computed with GGA-PBE.

POSCAR file:
```
SrAcGe2Pd2
1.0
4.360 0.000 0.000
-2.180 3.776 0.000
0.000 0.000 9.098
Pd Ge Sr Ac
2 2 1 1
Direct
0.667 0.333 0.746
0.333 0.667 0.254
0.333 0.667 0.756
0.667 0.333 0.244
0.000 0.000 0.500
0.000 0.000 0.000
```

Computed properties:
crystal system = trigonal
SG = P-3m1, No. 164
formation enthalpy at 0 K = -0.792 eV/atom

Record 6
ErGaHg after structural relaxation, computed with GGA-PBE.

POSCAR file:
```
ErGaHg
1.0
4.494 0.000 0.000
2.247 5.541 -0.164
2.247 0.836 5.308
Er Hg Ga
2 2 2
Direct
0.545 0.705 0.206
0.455 0.295 0.794
0.829 0.099 0.244
0.171 0.901 0.756
0.846 0.660 0.649
0.154 0.340 0.351
```

Computed properties:
crystal system = monoclinic
SG = C2/m, No. 12
formation enthalpy at 0 K = -0.478 eV/atom
energy above the lowest structure with this stoichiometry = 0 meV/atom

Record 7
LaScIr2 after structural relaxation, computed with GGA-PBE.

POSCAR file:
```
LaScIr2
1.0
-1.911 -0.830 4.379
1.101 2.912 3.717
-3.349 3.013 1.794
Sc Ir La
1 2 1
Direct
0.000 0.000 0.000
0.250 0.250 0.250
0.750 0.750 0.750
0.500 0.500 0.500
```

Computed properties:
crystal system = cubic
SG = Fm-3m, No. 225
formation enthalpy at 0 K = -0.630 eV/atom
energy above the lowest structure with this stoichiometry = 97 meV/atom

Record 8
ReRhF3 after structural relaxation, computed with GGA-PBE.

POSCAR file:
```
ReRhF3
1.0
-0.617 -1.264 -3.941
-1.238 -3.746 1.395
-3.949 1.372 0.178
F Re Rh
3 1 1
Direct
0.000 0.500 0.000
0.500 0.000 0.000
0.000 0.000 0.500
0.000 0.000 0.000
0.500 0.500 0.500
```

Computed properties:
crystal system = cubic
SG = Pm-3m, No. 221
total DFT energy (no corrections) = -5.17 eV/atom

Per-record N(E_F), states/eV per atom: 1.1239 0.8740 0.5392 1.5632 0.8155 0.5584 0.2439 2.1510